<a>
A geometry-optimized Sc3Cd structure, computed with PBEsol.

* theoretical density: 4.69 g/cm³

Unit cell a=4.440 b=4.440 c=4.440 alpha=90.00 beta=90.00 gamma=90.00
Space group Pm-3m (No. 221)
One atom of each set of equivalent atoms:
1 Sc 0.000 0.000 0.500
2 Cd 0.500 0.500 0.500

---

<b>
A geometry-optimized Sc3Cd structure, computed with PBEsol.

* theoretical density: 4.67 g/cm³

Unit cell a=5.015 b=6.242 c=5.618 alpha=90.00 beta=90.00 gamma=90.00
Space group Pmmn (No. 59, origin choice 2)
One atom of each set of equivalent atoms:
1 Sc 0.250 0.005 0.156
2 Sc 0.250 0.250 0.637
3 Cd 0.250 0.750 0.666

---

Computed relative energies in units of kJ/mol of atoms: <a> 0.0; <b> 2.1